A plane-wave DFT calculation with PBE-GGA was carried out for crystalline Cd4Sb2Br3 at its relaxed geometry.

Its energy above the most stable polymorph in this dataset is 0.0 meV per atom.

The space group is C2/c (No. 15) and the conventional cell measures 10.8303, 14.0651 and 8.0898 Å, with angles of 90.00, 107.64 and 90.00 degrees. The inequivalent atoms are Cd at (0.1027, 0.2122, 0.0166), Cd at (0.1810, 0.4416, 0.5169), Sb at (0.1516, 0.3844, 0.8352), Br at (0.0000, 0.3195, 0.2500) and Br at (0.1203, 0.1139, 0.6161).

A plane-wave DFT calculation with PBE-GGA was carried out for crystalline CdSbBr6 at its relaxed geometry.

Its energy above the most stable polymorph in this dataset is 51.5 meV per atom.

The space group is R-3 (No. 148, hexagonal axes) and the conventional cell measures 6.9252, 6.9252 and 18.8380 Å, with angles of 90.00, 90.00 and 120.00 degrees. The inequivalent atoms are Cd at (0.0000, 0.0000, 0.0000), Sb at (0.0000, 0.0000, 0.5000) and Br at (0.0005, 0.3248, 0.4169).

Number 1: raw formation energy -368 meV/atom. Number 2: raw formation energy -516 meV/atom.